Ca2RuPt PBE optimized geometry; Fermi-level density of states = 3.544 states/eV/cell; DFT total energy = -19.8 eV for the cell shown; crystal system = orthorhombic; energy relative to the elements = -0.12 eV/atom
1.0
-3.9431 3.4741 5.1356
-1.5280 -0.9755 -4.7859
-2.5116 -1.6040 1.1248
Ca Pt Ru
2 1 1
Cartesian
-3.2273 0.9351 3.1302
0.0000 0.0000 0.0000
-2.0198 -1.2897 -1.8305
-2.7355 1.2493 0.1749

=====

Ca2RuPt PBE optimized geometry; Fermi-level density of states = 5.038 states/eV/cell; DFT total energy = -19.4 eV for the cell shown; crystal system = tetragonal; energy relative to the elements = -0.01 eV/atom
1.0
3.5275 0.0000 0.0000
0.0000 3.5275 0.0000
0.0000 0.0000 8.1728
Ca Ru Pt
2 1 1
Cartesian
0.0000 0.0000 7.5336
1.7638 1.7638 2.7355
1.7638 1.7638 5.5099
0.0000 0.0000 4.6530

=====

Ca2RuPt PBE optimized geometry; Fermi-level density of states = 3.019 states/eV/cell; DFT total energy = -20.0 eV for the cell shown; crystal system = monoclinic; energy relative to the elements = -0.18 eV/atom
1.0
5.7534 -0.0040 0.0167
4.9616 2.9127 0.0167
1.5478 0.4202 4.9830
Ca Pt Ru
2 1 1
Cartesian
9.3719 2.5441 3.4236
10.5591 2.8664 0.3627
6.5310 1.7729 2.7088
2.6473 0.7187 1.0629

=====

CaRuPt4 PBE optimized geometry; Fermi-level density of states = 6.529 states/eV/cell; DFT total energy = -36.5 eV for the cell shown; crystal system = cubic; energy relative to the elements = -0.17 eV/atom
1.0
-2.1451 -0.4851 4.8552
-5.2030 0.9074 0.7176
-3.2902 -4.0553 1.0668
Pt Ru Ca
4 1 1
Cartesian
-6.5890 -0.9099 2.8493
-5.6340 -3.3878 3.0237
-5.0623 -1.6052 4.9152
-3.9912 -1.3630 2.4910
-7.9787 -2.7247 4.9797
0.0000 0.0000 0.0000

=====

CaRu2Pt PBE optimized geometry; Fermi-level density of states = 5.199 states/eV/cell; DFT total energy = -25.7 eV for the cell shown; crystal system = orthorhombic; energy relative to the elements = 0.24 eV/atom
1.0
-2.2456 -2.3126 -3.9079
3.0071 -3.1235 2.6198
-2.1109 -0.6782 1.6144
Pt Ru Ca
1 2 1
Cartesian
0.4481 -1.9009 2.1171
0.0000 0.0000 0.0000
0.3807 -2.7181 -0.6440
-2.1783 -1.4954 -1.1467

=====

CaRu2Pt PBE optimized geometry; Fermi-level density of states = 5.776 states/eV/cell; DFT total energy = -25.5 eV for the cell shown; crystal system = trigonal; energy relative to the elements = 0.28 eV/atom
1.0
9.3940 -0.0064 -0.0038
8.9527 2.8453 -0.0038
8.9527 1.3853 2.4853
Ca Ru Pt
1 2 1
Cartesian
13.6623 2.1140 1.2400
7.0418 1.0896 0.6391
27.1720 4.2045 2.4662
20.3723 3.1523 1.8490

=====

CaRu2Pt PBE optimized geometry; Fermi-level density of states = 3.171 states/eV/cell; DFT total energy = -26.5 eV for the cell shown; crystal system = orthorhombic; energy relative to the elements = 0.03 eV/atom
1.0
-1.9118 -1.9431 -0.7978
2.7249 -1.9532 -1.7728
1.1365 -3.3516 5.4396
Pt Ca Ru
1 1 2
Cartesian
1.2908 -4.5558 2.9468
0.5774 -1.7028 2.7636
0.0290 -0.0855 0.1388
0.6206 -2.5796 -0.2604

=====

CaRu3Pt PBE optimized geometry; Fermi-level density of states = 8.727 states/eV/cell; DFT total energy = -29.6 eV for the cell shown; crystal system = cubic; energy relative to the elements = 1.26 eV/atom
1.0
-0.9104 2.3222 4.1453
4.0245 -1.8668 1.9296
2.5258 3.8115 -1.5804
Ca Pt Ru
1 1 3
Cartesian
2.8199 2.1334 2.2473
0.0000 0.0000 0.0000
-0.4552 1.1611 2.0727
2.0122 -0.9334 0.9648
1.2629 1.9057 -0.7902